No. 1
## Ti3AuN (PBE)

Data for Ti3AuN after structural relaxation.

a b c (Å): 3.036 4.048 5.853
angles (deg): 90.00 90.00 90.00
Atoms (fractional coordinates):
Ti  0.000  0.000  0.000
Ti  0.500  0.500  0.244
Ti  0.500  0.500  0.756
Au  0.000  0.000  0.500
N  0.000  0.500  0.000

Summary:
**Energy relative to the elements, uncorrected**: -934.7 meV per atom
**D(E_F)**: 3.92 states/eV per cell



No. 2
## AgSn2GeAs (PBE)

Data for AgSn2GeAs after structural relaxation.

a b c (Å): 5.416 5.416 4.990
angles (deg): 90.00 90.00 90.00
Atoms (fractional coordinates):
Ag  0.000  0.000  0.000
Sn  0.000  0.500  0.500
Sn  0.500  0.000  0.500
Ge  0.500  0.500  0.000
As  0.500  0.500  0.500

Summary:
**D(E_F)**: 3.17 states/eV per cell
**ΔH_f (0 K)**: 631 meV per atom



No. 3
## NaScSb2O8 (PBE)

Data for NaScSb2O8 after structural relaxation.

a b c (Å): 5.649 5.649 6.732
angles (deg): 90.00 90.00 120.00
Atoms (fractional coordinates):
Na  0.000  0.000  0.000
Sc  0.000  0.000  0.500
Sb  0.333  0.667  0.446
Sb  0.667  0.333  0.554
O  0.051  0.363  0.631
O  0.312  0.949  0.631
O  0.333  0.667  0.151
O  0.363  0.312  0.369
O  0.637  0.688  0.631
O  0.667  0.333  0.849
O  0.688  0.051  0.369
O  0.949  0.637  0.369

Summary:
**Energy relative to the elements, uncorrected**: -1312.8 meV per atom
**D(E_F)**: 10.51 states/eV per cell



No. 4
## CrAgMo (PBE)

Data for CrAgMo after structural relaxation.

a b c (Å): 4.485 4.485 2.592
angles (deg): 90.00 90.00 120.00
Atoms (fractional coordinates):
Cr  0.000  0.000  0.000
Ag  0.333  0.667  0.681
Mo  0.667  0.333  0.261

Summary:
**D(E_F)**: 2.92 states/eV per cell
**ΔH_f (0 K)**: 581 meV per atom
**Polymorph energy (0 for the lowest one)**: 145.6 meV per atom



No. 5
## Sb2TeWBr (PBE)

Data for Sb2TeWBr after structural relaxation.

a b c (Å): 5.347 5.347 5.536
angles (deg): 90.00 90.00 90.00
Atoms (fractional coordinates):
Sb  0.000  0.500  0.000
Sb  0.500  0.000  0.000
Te  0.000  0.000  0.500
W  0.500  0.500  0.500
Br  0.000  0.000  0.000

Summary:
**Energy relative to the elements, uncorrected**: 1843.1 meV per atom
**D(E_F)**: 4.53 states/eV per cell
**Polymorph energy (0 for the lowest one)**: 1469.6 meV per atom



No. 6
## CoTc2AgN (PBE)

Data for CoTc2AgN after structural relaxation.

a b c (Å): 4.051 4.051 3.883
angles (deg): 90.00 90.00 90.00
Atoms (fractional coordinates):
Co  0.000  0.000  0.000
Tc  0.000  0.500  0.500
Tc  0.500  0.000  0.500
Ag  0.500  0.500  0.000
N  0.000  0.000  0.500

Summary:
**Energy relative to the elements, uncorrected**: 240.3 meV per atom
**D(E_F)**: 4.54 states/eV per cell
**Polymorph energy (0 for the lowest one)**: 0.0 meV per atom



No. 7
## AcLa2PmPr (PBE)

Data for AcLa2PmPr after structural relaxation.

a b c (Å): 6.598 6.109 10.045
angles (deg): 90.00 108.90 90.00
Atoms (fractional coordinates):
Ac  0.233  0.250  0.299
Ac  0.767  0.750  0.701
La  0.370  0.750  0.911
La  0.425  0.250  0.703
La  0.575  0.750  0.297
La  0.630  0.250  0.089
Pm  0.037  0.250  0.899
Pm  0.963  0.750  0.101
Pr  0.165  0.750  0.506
Pr  0.835  0.250  0.494

Summary:
**D(E_F)**: 17.61 states/eV per cell
**ΔH_f (0 K)**: 40 meV per atom



No. 8
## As2RuSe (PBE)

Data for As2RuSe after structural relaxation.

a b c (Å): 4.697 4.697 3.263
angles (deg): 90.00 90.00 107.02
Atoms (fractional coordinates):
As  0.000  0.500  0.000
As  0.500  0.000  0.000
Ru  0.000  0.000  0.500
Se  0.500  0.500  0.500

Summary:
**Energy relative to the elements, uncorrected**: 432.0 meV per atom
**D(E_F)**: 2.49 states/eV per cell



No. 9
## Nd3Mg2Tl4 (PBE)

Data for Nd3Mg2Tl4 after structural relaxation.

a b c (Å): 6.352 6.352 9.485
angles (deg): 112.66 112.66 46.38
Atoms (fractional coordinates):
Nd  0.000  0.000  0.000
Nd  0.336  0.336  0.330
Nd  0.664  0.664  0.670
Mg  0.385  0.385  0.716
Mg  0.615  0.615  0.284
Tl  0.083  0.083  0.412
Tl  0.314  0.314  0.974
Tl  0.686  0.686  0.026
Tl  0.917  0.917  0.588

Summary:
**D(E_F)**: 5.27 states/eV per cell
**ΔH_f (0 K)**: -307 meV per atom



No. 10
## PPb2Cl (PBE)

Data for PPb2Cl after structural relaxation.

a b c (Å): 5.379 5.379 3.485
angles (deg): 90.26 90.26 90.00
Atoms (fractional coordinates):
P  0.000  0.000  0.000
Pb  0.000  0.500  0.500
Pb  0.500  0.000  0.500
Cl  0.500  0.500  0.000

Summary:
**Energy relative to the elements, uncorrected**: -111.4 meV per atom
**D(E_F)**: 1.48 states/eV per cell
**Polymorph energy (0 for the lowest one)**: 322.6 meV per atom



No. 11
## Tb2HfS6 (PBE)

Data for Tb2HfS6 after structural relaxation.

a b c (Å): 6.583 7.170 10.106
angles (deg): 90.00 123.88 90.00
Atoms (fractional coordinates):
Tb  0.200  0.127  0.230
Tb  0.200  0.373  0.730
Tb  0.800  0.627  0.270
Tb  0.800  0.873  0.770
Hf  0.500  0.000  0.000
Hf  0.500  0.500  0.500
S  0.110  0.167  0.924
S  0.110  0.333  0.424
S  0.290  0.682  0.958
S  0.290  0.818  0.458
S  0.379  0.018  0.720
S  0.379  0.482  0.220
S  0.621  0.518  0.780
S  0.621  0.982  0.280
S  0.710  0.182  0.542
S  0.710  0.318  0.042
S  0.890  0.667  0.576
S  0.890  0.833  0.076

Summary:
**Energy relative to the elements, uncorrected**: -1482.4 meV per atom
**D(E_F)**: 5.28 states/eV per cell



No. 12
## Pr2YBi (PBE)

Data for Pr2YBi after structural relaxation.

a b c (Å): 12.075 12.075 4.702
angles (deg): 90.00 90.00 157.54
Atoms (fractional coordinates):
Pr  0.062  0.938  0.750
Pr  0.433  0.567  0.750
Pr  0.567  0.433  0.250
Pr  0.938  0.062  0.250
Y  0.307  0.693  0.250
Y  0.693  0.307  0.750
Bi  0.174  0.826  0.250
Bi  0.826  0.174  0.750

Summary:
**D(E_F)**: 7.76 states/eV per cell
**ΔH_f (0 K)**: -417 meV per atom
**Polymorph energy (0 for the lowest one)**: 0.0 meV per atom



No. 13
## NbGaMo (PBE)

Data for NbGaMo after structural relaxation.

a b c (Å): 3.309 5.516 6.367
angles (deg): 113.57 104.99 90.15
Atoms (fractional coordinates):
Nb  0.185  0.145  0.374
Nb  0.815  0.855  0.626
Ga  0.130  0.586  0.259
Ga  0.870  0.414  0.741
Mo  0.484  0.202  0.970
Mo  0.516  0.798  0.030

Summary:
**D(E_F)**: 3.16 states/eV per cell
**ΔH_f (0 K)**: -86 meV per atom
**Polymorph energy (0 for the lowest one)**: 109.5 meV per atom



No. 14
## Ca4Mg2H (PBE)

Data for Ca4Mg2H after structural relaxation.

a b c (Å): 9.771 9.771 9.771
angles (deg): 151.45 151.45 40.82
Atoms (fractional coordinates):
Ca  0.000  0.500  0.500
Ca  0.178  0.178  0.000
Ca  0.500  0.000  0.500
Ca  0.822  0.822  0.000
Mg  0.366  0.366  0.000
Mg  0.634  0.634  0.000
H  0.000  0.000  0.000

Summary:
**D(E_F)**: 5.95 states/eV per cell
**VASP energy**: -2.14 eV/atom



No. 15
## CeDy3Th3 (PBE)

Data for CeDy3Th3 after structural relaxation.

a b c (Å): 8.767 8.767 8.767
angles (deg): 59.64 59.64 59.64
Atoms (fractional coordinates):
Ce  0.141  0.141  0.141
Ce  0.859  0.859  0.859
Dy  0.065  0.556  0.240
Dy  0.240  0.065  0.556
Dy  0.444  0.760  0.935
Dy  0.556  0.240  0.065
Dy  0.760  0.935  0.444
Dy  0.935  0.444  0.760
Th  0.207  0.704  0.428
Th  0.296  0.572  0.793
Th  0.428  0.207  0.704
Th  0.572  0.793  0.296
Th  0.704  0.428  0.207
Th  0.793  0.296  0.572

Summary:
**D(E_F)**: 28.81 states/eV per cell
**ΔH_f (0 K)**: 328 meV per atom



No. 16
## LiFeAu (PBE)

Data for LiFeAu after structural relaxation.

a b c (Å): 4.331 4.331 2.671
angles (deg): 90.00 90.00 120.00
Atoms (fractional coordinates):
Li  0.000  0.000  0.000
Fe  0.667  0.333  0.701
Au  0.333  0.667  0.302

Summary:
**D(E_F)**: 1.84 states/eV per cell
**ΔH_f (0 K)**: 18 meV per atom



No. 17
## MgAs2Ir (PBE)

Data for MgAs2Ir after structural relaxation.

a b c (Å): 4.549 3.978 4.962
angles (deg): 90.00 113.70 90.00
Atoms (fractional coordinates):
Mg  0.000  0.000  0.000
As  0.364  0.500  0.719
As  0.636  0.500  0.281
Ir  0.500  0.000  0.500

Summary:
**D(E_F)**: 1.28 states/eV per cell
**ΔH_f (0 K)**: -175 meV per atom



No. 18
## NdSm2Os (PBE)

Data for NdSm2Os after structural relaxation.

a b c (Å): 7.488 9.456 6.508
angles (deg): 90.00 90.00 90.00
Atoms (fractional coordinates):
Nd  0.042  0.250  0.136
Nd  0.458  0.750  0.636
Nd  0.542  0.250  0.364
Nd  0.958  0.750  0.864
Sm  0.175  0.066  0.669
Sm  0.175  0.434  0.669
Sm  0.325  0.566  0.169
Sm  0.325  0.934  0.169
Sm  0.675  0.066  0.831
Sm  0.675  0.434  0.831
Sm  0.825  0.566  0.331
Sm  0.825  0.934  0.331
Os  0.114  0.750  0.450
Os  0.386  0.250  0.950
Os  0.614  0.750  0.050
Os  0.886  0.250  0.550

Summary:
**D(E_F)**: 14.39 states/eV per cell
**ΔH_f (0 K)**: -137 meV per atom
**Polymorph energy (0 for the lowest one)**: 0.0 meV per atom



No. 19
## La2PmNdY (PBE)

Data for La2PmNdY after structural relaxation.

a b c (Å): 6.453 5.930 9.853
angles (deg): 90.00 109.03 90.00
Atoms (fractional coordinates):
La  0.039  0.250  0.401
La  0.233  0.250  0.801
La  0.767  0.750  0.199
La  0.961  0.750  0.599
Pm  0.432  0.250  0.196
Pm  0.568  0.750  0.804
Nd  0.364  0.750  0.398
Nd  0.636  0.250  0.602
Y  0.164  0.750  0.000
Y  0.836  0.250  0.000

Summary:
**D(E_F)**: 17.65 states/eV per cell
**ΔH_f (0 K)**: 31 meV per atom



No. 20
## BaInSb2 (PBE)

Data for BaInSb2 after structural relaxation.

a b c (Å): 3.562 5.901 6.277
angles (deg): 90.00 90.04 90.00
Atoms (fractional coordinates):
Ba  0.000  0.000  0.000
In  0.494  0.500  0.659
Sb  0.499  0.000  0.503
Sb  0.500  0.500  0.142

Summary:
**Energy relative to the elements, uncorrected**: -347.6 meV per atom
**D(E_F)**: 3.10 states/eV per cell